(1)
A plane-wave DFT calculation with GGA-PBE was carried out for a relaxed CaGe3Ru crystal.

```
CaGe3Ru
1.0
-4.3957 -0.7831 -1.8766
-0.6092 -3.7571 2.9949
-1.9400 2.9542 3.3114
Ca Ru Ge
1 1 3
direct
0.5000 0.5000 0.5000
0.0000 0.0000 0.0000
0.5000 0.0000 0.0000
0.0000 0.0000 0.5000
0.0000 0.5000 0.0000
```

Values from the calculation:
Energy of formation from the pure elements: 11.9 meV per atom

(2)
A plane-wave DFT calculation with GGA-PBE was carried out for a relaxed CaGe2Ru2 crystal.

```
CaGe2Ru2
1.0
4.3154 0.0000 0.0000
0.0000 4.3154 0.0000
2.1577 2.1577 4.9971
Ru Ge Ca
2 2 1
direct
0.3794 0.3794 0.2412
0.6206 0.6206 0.7588
0.2500 0.7500 0.5000
0.7500 0.2500 0.5000
0.0000 0.0000 0.0000
```

Values from the calculation:
Energy of formation from the pure elements: -278.3 meV per atom

(3)
A plane-wave DFT calculation with GGA-PBE was carried out for a relaxed CaSnGe2Ru crystal.

```
CaSnGe2Ru
1.0
5.2494 0.0000 0.0000
0.0000 4.8756 0.0000
0.0000 0.0000 5.2494
Sn Ge Ru Ca
1 2 1 1
direct
0.5000 0.5000 0.5000
0.0000 0.0000 0.5000
0.5000 0.0000 0.0000
0.0000 0.5000 0.0000
0.0000 0.0000 0.0000
```

Values from the calculation:
Energy of formation from the pure elements: 1265.9 meV per atom

(4)
A plane-wave DFT calculation with GGA-PBE was carried out for a relaxed CaTiGeRu2 crystal.

```
CaTiGeRu2
1.0
4.6697 0.0000 0.0000
0.0000 4.7123 0.0000
0.0000 0.0000 4.6697
Ti Ge Ru Ca
1 1 2 1
direct
0.0000 0.5000 0.0000
0.5000 0.5000 0.5000
0.0000 0.0000 0.5000
0.5000 0.0000 0.0000
0.0000 0.0000 0.0000
```

Values from the calculation:
Energy of formation from the pure elements: 1904.5 meV per atom

(5)
A plane-wave DFT calculation with GGA-PBE was carried out for a relaxed Ca4GeS5 crystal.

```
Ca4GeS5
1.0
-4.7332 2.9424 1.2077
-4.4080 -3.3129 4.2593
0.5327 4.0730 5.6280
Ca Ge S
4 1 5
direct
0.8022 0.8013 0.5983
0.6035 0.5983 0.1987
0.4005 0.4017 0.8013
0.2018 0.1987 0.4017
0.0297 0.0000 0.0000
0.1029 0.6027 0.1986
0.9042 0.3973 0.8014
0.7056 0.1986 0.3973
0.3015 0.8014 0.6027
0.4585 0.0000 0.0000
```

Values from the calculation:
Formation energy from raw total energies: -1754 meV/atom

(6)
A plane-wave DFT calculation with GGA-PBE was carried out for a relaxed Ca3Ge5S12 crystal.

```
Ca3Ge5S12
1.0
-1.4595 -10.2125 -8.3125
12.2761 4.8615 -1.0896
-2.0394 -4.0989 12.4324
Ge Ca S
20 12 48
direct
0.3750 0.1250 0.7500
0.6250 0.7500 0.8750
0.3750 0.2500 0.1250
0.0000 0.5000 0.0000
0.5000 0.0000 0.0000
0.7500 0.1250 0.8750
0.6250 0.8750 0.2500
0.1250 0.7500 0.3750
0.2500 0.3750 0.6250
0.0000 0.5000 0.5000
0.8750 0.2500 0.6250
0.8750 0.6250 0.7500
0.5000 0.5000 0.5000
0.1250 0.3750 0.2500
0.5000 0.0000 0.5000
0.7500 0.6250 0.3750
0.0000 0.0000 0.0000
0.0000 0.0000 0.5000
0.2500 0.8750 0.1250
0.5000 0.5000 0.0000
0.6250 0.3750 0.7500
0.2500 0.1250 0.3750
0.1250 0.2500 0.8750
0.8750 0.1250 0.2500
0.6250 0.2500 0.3750
0.7500 0.3750 0.1250
0.3750 0.6250 0.2500
0.1250 0.8750 0.7500
0.3750 0.7500 0.6250
0.7500 0.8750 0.6250
0.8750 0.7500 0.1250
0.2500 0.6250 0.8750
0.8170 0.9054 0.0290
0.5946 0.6236 0.4116
0.2120 0.5290 0.6236
0.3170 0.5290 0.4054
0.9116 0.0946 0.6236
0.2880 0.4116 0.8170
0.3764 0.9710 0.7880
0.8170 0.9116 0.2880
0.0290 0.4054 0.8170
0.0884 0.9054 0.3764
0.9710 0.5946 0.1830
0.4054 0.3764 0.5884
0.9710 0.3764 0.2880
0.7120 0.1236 0.0290
0.4710 0.7880 0.8764
0.9054 0.8170 0.5290
0.5946 0.9710 0.6830
0.0946 0.9116 0.1236
0.9054 0.0884 0.8764
0.3764 0.4054 0.0884
0.5884 0.8764 0.4054
0.0946 0.1830 0.4710
0.4710 0.6830 0.0946
0.6830 0.4710 0.5946
0.9116 0.8170 0.7880
0.6236 0.0290 0.2120
0.6830 0.2120 0.5884
0.7880 0.4710 0.3764
0.4116 0.2880 0.3170
0.7880 0.3170 0.9116
0.2880 0.8764 0.9710
0.6236 0.5946 0.9116
0.8764 0.2880 0.4710
0.3170 0.7880 0.4116
0.5290 0.3170 0.9054
0.2120 0.6830 0.0884
0.1830 0.0946 0.9710
0.1830 0.0884 0.7120
0.5884 0.7120 0.6830
0.8764 0.5884 0.9054
0.1236 0.4116 0.0946
0.0290 0.6236 0.7120
0.4054 0.0290 0.3170
0.1236 0.7120 0.5290
0.4116 0.1236 0.5946
0.5290 0.2120 0.1236
0.0884 0.1830 0.2120
0.7120 0.5884 0.1830
```

Values from the calculation:
Formation energy from raw total energies: -786 meV/atom

(7)
A plane-wave DFT calculation with GGA-PBE was carried out for a relaxed CaGeS2 crystal.

```
CaGeS2
1.0
3.9008 0.0000 0.0000
1.9504 3.3782 0.0000
1.9504 1.1261 6.7416
Ge S Ca
1 2 1
direct
0.6674 0.6674 0.9978
0.0794 0.0794 0.7618
0.2542 0.2542 0.2375
0.4990 0.4990 0.5029
```

Values from the calculation:
Formation energy from raw total energies: -1045 meV/atom

(8)
A plane-wave DFT calculation with GGA-PBE was carried out for a relaxed CaGeS2 crystal.

```
CaGeS2
1.0
-3.6041 -3.8678 2.9265
0.3259 -3.8309 -4.6618
3.5317 -6.6516 1.7967
S Ca Ge
4 2 2
direct
0.6419 0.1250 0.2500
0.3750 0.3581 0.7500
0.1081 0.6250 0.2500
0.8750 0.8919 0.7500
0.5000 0.5000 0.0000
0.2500 0.7500 0.5000
0.7500 0.2500 0.5000
0.0000 0.0000 0.0000
```

Values from the calculation:
Formation energy from raw total energies: -904 meV/atom

(9)
A plane-wave DFT calculation with GGA-PBE was carried out for a relaxed CaGe2S crystal.

```
CaGe2S
1.0
-6.9771 1.1843 4.3054
0.3384 -7.8238 2.7005
-1.8735 -2.5240 5.6271
Ge Ca S
4 2 2
direct
0.8750 0.8301 0.7500
0.1699 0.6250 0.2500
0.3750 0.4199 0.7500
0.5801 0.1250 0.2500
0.0000 0.0000 0.0000
0.7500 0.2500 0.5000
0.5000 0.5000 0.0000
0.2500 0.7500 0.5000
```

Values from the calculation:
Formation energy from raw total energies: -253 meV/atom

(10)
A plane-wave DFT calculation with GGA-PBE was carried out for a relaxed Ca2GeS crystal.

```
Ca2GeS
1.0
0.8929 1.5425 4.7824
-1.4494 4.6611 1.4906
-3.8786 0.5415 3.2728
Ca Ge S
2 1 1
direct
0.2500 0.2500 0.2500
0.7500 0.7500 0.7500
0.5000 0.5000 0.5000
0.0000 0.0000 0.0000
```

Values from the calculation:
Energy above the lowest structure with this stoichiometry: 0.081 eV/atom
Formation energy from raw total energies: -781 meV/atom

(11)
A plane-wave DFT calculation with GGA-PBE was carried out for a relaxed CaGeS crystal.

```
CaGeS
1.0
-1.6623 3.9753 2.1436
-4.2035 1.8972 -1.3757
-5.4259 -2.1543 5.1899
Ge S Ca
2 2 2
direct
0.1651 0.1651 0.5048
0.8349 0.8349 0.4952
0.7249 0.7249 0.8254
0.2751 0.2751 0.1746
0.4068 0.4068 0.7796
0.5932 0.5932 0.2204
```

Values from the calculation:
Formation energy from raw total energies: -1080 meV/atom

(12)
A plane-wave DFT calculation with GGA-PBE was carried out for a relaxed CaGeS2 crystal.

```
CaGeS2
1.0
2.4323 0.0000 7.6068
-1.2162 2.1065 7.6068
-1.2162 -2.1065 7.6068
Ca S Ge
1 2 1
direct
0.5000 0.5000 0.5000
0.8963 0.8963 0.8963
0.1037 0.1037 0.1037
0.0000 0.0000 0.0000
```

Values from the calculation:
Formation energy from raw total energies: -689 meV/atom

(13)
A plane-wave DFT calculation with GGA-PBE was carried out for a relaxed Ca2GeS crystal.

```
Ca2GeS
1.0
7.6252 0.0000 0.0000
0.0000 7.6252 0.0000
3.8126 3.8126 3.7870
Ca Ge S
4 2 2
direct
0.5938 0.1250 0.2500
0.8750 0.8438 0.7500
0.1562 0.6250 0.2500
0.3750 0.4062 0.7500
0.7500 0.2500 0.5000
0.0000 0.0000 0.0000
0.5000 0.5000 0.0000
0.2500 0.7500 0.5000
```

Values from the calculation:
Energy above the lowest structure with this stoichiometry: 0.000 eV/atom
Formation energy from raw total energies: -861 meV/atom

(14)
A plane-wave DFT calculation with GGA-PBE was carried out for a relaxed Ca2GeS4 crystal.

```
Ca2GeS4
1.0
6.3597 0.0000 0.0000
0.0000 8.2355 0.0000
0.0000 0.0000 13.8498
S Ca Ge
16 8 4
direct
0.7713 0.7500 0.5568
0.2573 0.7500 0.4060
0.2414 0.0367 0.6680
0.2713 0.2500 0.9432
0.2427 0.7500 0.9060
0.7414 0.9633 0.8320
0.2287 0.2500 0.4432
0.7586 0.5367 0.3320
0.2586 0.4633 0.1680
0.7427 0.2500 0.5940
0.7573 0.2500 0.0940
0.7414 0.5367 0.8320
0.7287 0.7500 0.0568
0.2586 0.0367 0.1680
0.2414 0.4633 0.6680
0.7586 0.9633 0.3320
0.5000 0.5000 0.5000
0.4858 0.7500 0.2268
0.9858 0.2500 0.2732
0.0142 0.7500 0.7268
0.5000 0.0000 0.5000
0.0000 0.5000 0.0000
0.0000 0.0000 0.0000
0.5142 0.2500 0.7732
0.0918 0.2500 0.5934
0.9082 0.7500 0.4066
0.4082 0.2500 0.0934
0.5918 0.7500 0.9066
```

Values from the calculation:
Formation energy from raw total energies: -1401 meV/atom

(15)
A plane-wave DFT calculation with GGA-PBE was carried out for a relaxed Ca2GeS4 crystal.

```
Ca2GeS4
1.0
0.4270 0.2506 -7.2247
5.3661 -3.4403 3.4368
-6.7764 -4.9022 1.4422
S Ge Ca
8 2 4
direct
0.8493 0.3314 0.0975
0.2346 0.2518 0.4026
0.1507 0.6686 0.9025
0.2518 0.2346 0.9026
0.7654 0.7482 0.5974
0.7482 0.7654 0.0974
0.6686 0.1507 0.4025
0.3314 0.8493 0.5975
0.1248 0.8752 0.7500
0.8752 0.1248 0.2500
0.4267 0.5733 0.7500
0.1770 0.8230 0.2500
0.5733 0.4267 0.2500
0.8230 0.1770 0.7500
```

Values from the calculation:
Formation energy from raw total energies: -1350 meV/atom

(16)
A plane-wave DFT calculation with GGA-PBE was carried out for a relaxed CaSiGeS crystal.

```
CaSiGeS
1.0
-1.2429 -1.7801 2.5665
3.4822 -0.0805 1.6305
-1.8755 12.3998 4.6178
Si Ge S Ca
2 2 2 2
direct
0.0580 0.0000 0.8669
0.0579 0.5000 0.3669
0.2635 0.0000 0.4724
0.2635 0.5000 0.9724
0.4297 0.0000 0.7339
0.4297 0.5000 0.2339
0.8531 0.0000 0.1199
0.8530 0.5000 0.6199
```

Values from the calculation:
Energy above the lowest structure with this stoichiometry: 0.304 eV/atom
Formation energy from raw total energies: -477 meV/atom

(17)
A plane-wave DFT calculation with GGA-PBE was carried out for a relaxed CaSiGeS crystal.

```
CaSiGeS
1.0
-0.2181 -3.9879 -0.0922
2.7928 1.8976 -2.1350
12.8680 -1.0710 15.8808
Ge Si S Ca
3 3 3 3
direct
0.6667 0.3333 0.7776
0.3333 0.6667 0.1109
0.0000 0.0000 0.4442
0.0000 0.0000 0.8226
0.3333 0.6667 0.4893
0.6667 0.3333 0.1560
0.3333 0.6667 0.5961
0.0000 0.0000 0.9295
0.6667 0.3333 0.2628
0.3333 0.6667 0.3327
0.6667 0.3333 0.9994
0.0000 0.0000 0.6661
```

Values from the calculation:
Energy above the lowest structure with this stoichiometry: 0.011 eV/atom
Formation energy from raw total energies: -771 meV/atom

(18)
A plane-wave DFT calculation with GGA-PBE was carried out for a relaxed CaSiGeS crystal.

```
CaSiGeS
1.0
-0.7008 3.3857 -1.9645
-2.7327 -1.4518 2.4976
8.4172 10.6921 15.4246
S Ca Si Ge
3 3 3 3
direct
0.0000 0.0000 0.3023
0.3333 0.6667 0.9689
0.6667 0.3333 0.6356
0.0000 0.0000 0.8973
0.3333 0.6667 0.5640
0.6667 0.3333 0.2306
0.3333 0.6667 0.0760
0.6667 0.3333 0.7427
0.0000 0.0000 0.4094
0.6667 0.3333 0.4526
0.0000 0.0000 0.1193
0.3333 0.6667 0.7860
```

Values from the calculation:
Energy above the lowest structure with this stoichiometry: 0.036 eV/atom
Formation energy from raw total energies: -745 meV/atom

(19)
A plane-wave DFT calculation with GGA-PBE was carried out for a relaxed CaSiGeS crystal.

```
CaSiGeS
1.0
3.9996 0.0000 0.0000
-1.9998 3.4637 0.0000
0.0000 0.0000 6.7401
Ge Si Ca S
1 1 1 1
direct
0.0000 0.0000 0.0743
0.6667 0.3333 0.2054
0.3333 0.6667 0.7444
0.6667 0.3333 0.5317
```

Values from the calculation:
Energy above the lowest structure with this stoichiometry: 0.000 eV/atom
Formation energy from raw total energies: -781 meV/atom

(20)
A plane-wave DFT calculation with GGA-PBE was carried out for a relaxed CaSiGeS crystal.

```
CaSiGeS
1.0
-1.7700 -1.6871 2.9236
-1.4419 -2.3450 -2.2262
10.4459 -8.0286 1.6914
Ca Si S Ge
2 2 2 2
direct
0.5000 0.0000 0.0046
0.5000 0.5000 0.5046
0.5000 0.5000 0.2059
0.5000 0.0000 0.7059
0.0000 0.0000 0.4382
0.0000 0.5000 0.9382
0.0000 0.5000 0.7595
0.0000 0.0000 0.2595
```

Values from the calculation:
Energy above the lowest structure with this stoichiometry: 0.202 eV/atom
Formation energy from raw total energies: -579 meV/atom

In the order shown, the computed total energy values come out to -25.07; -31.18; -18.19; -23.54; -50.80; -377.37; -19.05; -36.98; -32.75; -15.87; -27.98; -17.63; -32.39; -139.76; -69.16; -36.15; -57.76; -57.45; -19.29; -36.97 eV/cell.